Material: AlAuSe
Method: DFT, PBE-GGA
State: relaxed

Properties
The density comes out at 7.1 g/cm3. The value obtained for the total magnetic moment is 0.00 Bohr magnetons per cell. The total DFT energy (no corrections) comes out at -3.969 eV/atom. The calculation puts the energy relative to the lowest polymorph listed for this composition at 0 meV/atom. The raw formation energy comes out at -0.468 eV per atom.

Cell lengths 5.305, 5.987, 6.270 Å; angles 61.12, 108.74, 74.05 degrees
Fractional coordinates of all 6 atoms:
Al 0.500 0.773 0.490
Se 0.498 0.340 0.836
Au 0.022 0.238 0.259
Au 0.978 0.762 0.741
Al 0.500 0.227 0.510
Se 0.502 0.660 0.164